LaPr3Nd2P6 | GGA-PBE | relaxed

CIF file:
```
data_LaPr3Nd2P6
_space_group_name_H-M_alt 'P 1'
_space_group_IT_number 1
_cell_length_a 7.2818
_cell_length_b 7.2818
_cell_length_c 7.2818
_cell_angle_alpha 99.59
_cell_angle_beta 99.59
_cell_angle_gamma 120.00
loop_
_space_group_symop_operation_xyz
'x,y,z'
loop_
_atom_site_label
_atom_site_type_symbol
_atom_site_fract_x
_atom_site_fract_y
_atom_site_fract_z
La1 La 0.0000 0.0000 0.0000
Pr1 Pr 0.1664 0.8336 0.5000
Pr2 Pr 0.5000 0.5000 0.5000
Pr3 Pr 0.8336 0.1664 0.5000
Nd1 Nd 0.3332 0.6668 0.0000
Nd2 Nd 0.6668 0.3332 0.0000
P1 P 0.0831 0.4187 0.2494
P2 P 0.2526 0.2526 0.7509
P3 P 0.4187 0.0831 0.2494
P4 P 0.5813 0.9169 0.7506
P5 P 0.7474 0.7474 0.2491
P6 P 0.9169 0.5813 0.7506
```

Results
Formation energy = -1.533 eV per atom
DFT total energy = -6.638 eV/atom
Fermi-level density of states = 0.10 states/eV per atom
V = 26.28 A^3/atom